1.
Below is a geometry-optimized Pm3InSn6 structure, with properties calculated at the PBE level.

Geometry as CIF:
```
data_Pm3InSn6
_symmetry_space_group_name_H-M 'P 1'
_symmetry_Int_Tables_number 1
_cell_length_a 7.057
_cell_length_b 10.045
_cell_length_c 10.171
_cell_angle_alpha 90.00
_cell_angle_beta 126.42
_cell_angle_gamma 90.00
loop_
_symmetry_equiv_pos_as_xyz
'x,y,z'
loop_
_atom_site_label
_atom_site_type_symbol
_atom_site_fract_x
_atom_site_fract_y
_atom_site_fract_z
Pm1 Pm 0.000 0.000 0.000
Pm2 Pm 0.000 0.500 0.500
Pm3 Pm 0.247 0.087 0.691
Pm4 Pm 0.247 0.413 0.191
Pm5 Pm 0.753 0.587 0.809
Pm6 Pm 0.753 0.913 0.309
In1 In 0.500 0.000 0.500
In2 In 0.500 0.500 0.000
Sn1 Sn 0.021 0.173 0.292
Sn2 Sn 0.021 0.327 0.792
Sn3 Sn 0.284 0.726 0.079
Sn4 Sn 0.284 0.774 0.579
Sn5 Sn 0.435 0.169 0.058
Sn6 Sn 0.435 0.331 0.558
Sn7 Sn 0.565 0.669 0.442
Sn8 Sn 0.565 0.831 0.942
Sn9 Sn 0.716 0.226 0.421
Sn10 Sn 0.716 0.274 0.921
Sn11 Sn 0.979 0.673 0.208
Sn12 Sn 0.979 0.827 0.708
```

Values from the calculation:
* space-group type: P2_1/c, No. 14
* total energy: -89.690 eV/cell
* density of states at the Fermi level: 5.25 states/eV/f.u.

=====

2.
Below is a geometry-optimized Nd2YNi structure, with properties calculated at the PBE level.

Geometry as CIF:
```
data_Nd2YNi
_symmetry_space_group_name_H-M 'P 1'
_symmetry_Int_Tables_number 1
_cell_length_a 7.014
_cell_length_b 10.008
_cell_length_c 6.391
_cell_angle_alpha 90.00
_cell_angle_beta 90.00
_cell_angle_gamma 90.00
loop_
_symmetry_equiv_pos_as_xyz
'x,y,z'
loop_
_atom_site_label
_atom_site_type_symbol
_atom_site_fract_x
_atom_site_fract_y
_atom_site_fract_z
Nd1 Nd 0.180 0.067 0.175
Nd2 Nd 0.180 0.433 0.175
Nd3 Nd 0.320 0.567 0.675
Nd4 Nd 0.320 0.933 0.675
Nd5 Nd 0.680 0.067 0.325
Nd6 Nd 0.680 0.433 0.325
Nd7 Nd 0.820 0.567 0.825
Nd8 Nd 0.820 0.933 0.825
Y1 Y 0.036 0.250 0.651
Y2 Y 0.464 0.750 0.151
Y3 Y 0.536 0.250 0.849
Y4 Y 0.964 0.750 0.349
Ni1 Ni 0.113 0.750 0.941
Ni2 Ni 0.387 0.250 0.441
Ni3 Ni 0.613 0.750 0.559
Ni4 Ni 0.887 0.250 0.059
```

Values from the calculation:
* relative energy among the computed polymorphs: 0 meV/atom
* space-group type: Pnma, No. 62
* density of states at the Fermi level: 4.06 states/eV/f.u.

=====

3.
Below is a geometry-optimized ScCu2Pd8 structure, with properties calculated at the PBE level.

Geometry as CIF:
```
data_ScCu2Pd8
_symmetry_space_group_name_H-M 'P 1'
_symmetry_Int_Tables_number 1
_cell_length_a 7.275
_cell_length_b 7.275
_cell_length_c 6.254
_cell_angle_alpha 106.04
_cell_angle_beta 106.04
_cell_angle_gamma 31.78
loop_
_symmetry_equiv_pos_as_xyz
'x,y,z'
loop_
_atom_site_label
_atom_site_type_symbol
_atom_site_fract_x
_atom_site_fract_y
_atom_site_fract_z
Sc1 Sc 0.000 0.000 0.000
Cu1 Cu 0.273 0.273 0.362
Cu2 Cu 0.727 0.727 0.638
Pd1 Pd 0.097 0.097 0.461
Pd2 Pd 0.183 0.183 0.917
Pd3 Pd 0.359 0.359 0.803
Pd4 Pd 0.453 0.453 0.272
Pd5 Pd 0.547 0.547 0.728
Pd6 Pd 0.641 0.641 0.197
Pd7 Pd 0.817 0.817 0.083
Pd8 Pd 0.903 0.903 0.539
```

Values from the calculation:
* relative energy among the computed polymorphs: 0 meV/atom
* space-group type: C2/m, No. 12
* density of states at the Fermi level: 10.38 states/eV/f.u.

=====

4.
Below is a geometry-optimized Sc2In3Pd4 structure, with properties calculated at the PBE level.

Geometry as CIF:
```
data_Sc2In3Pd4
_symmetry_space_group_name_H-M 'P 1'
_symmetry_Int_Tables_number 1
_cell_length_a 4.677
_cell_length_b 4.677
_cell_length_c 8.791
_cell_angle_alpha 90.20
_cell_angle_beta 90.20
_cell_angle_gamma 60.14
loop_
_symmetry_equiv_pos_as_xyz
'x,y,z'
loop_
_atom_site_label
_atom_site_type_symbol
_atom_site_fract_x
_atom_site_fract_y
_atom_site_fract_z
Sc1 Sc 0.167 0.167 0.287
Sc2 Sc 0.833 0.833 0.713
In1 In 0.167 0.167 0.918
In2 In 0.500 0.500 0.500
In3 In 0.833 0.833 0.082
Pd1 Pd 0.167 0.167 0.602
Pd2 Pd 0.499 0.499 0.166
Pd3 Pd 0.501 0.501 0.834
Pd4 Pd 0.833 0.833 0.398
```

Values from the calculation:
* space-group type: C2/m, No. 12
* total energy: -47.868 eV/cell
* density of states at the Fermi level: 4.96 states/eV/f.u.

=====

5.
Below is a geometry-optimized K2MgCdGe structure, with properties calculated at the PBE level.

Geometry as CIF:
```
data_K2MgCdGe
_symmetry_space_group_name_H-M 'P 1'
_symmetry_Int_Tables_number 1
_cell_length_a 6.538
_cell_length_b 6.538
_cell_length_c 5.278
_cell_angle_alpha 90.00
_cell_angle_beta 90.00
_cell_angle_gamma 90.00
loop_
_symmetry_equiv_pos_as_xyz
'x,y,z'
loop_
_atom_site_label
_atom_site_type_symbol
_atom_site_fract_x
_atom_site_fract_y
_atom_site_fract_z
K1 K 0.000 0.500 0.000
K2 K 0.500 0.000 0.000
Mg1 Mg 0.000 0.000 0.000
Cd1 Cd 0.000 0.000 0.500
Ge1 Ge 0.500 0.500 0.500
```

Values from the calculation:
* space-group type: P4/mmm, No. 123
* total energy: -6.570 eV/cell
* density of states at the Fermi level: 3.00 states/eV/f.u.

=====

6.
Below is a geometry-optimized NaCaAlAu structure, with properties calculated at the PBE level.

Geometry as CIF:
```
data_NaCaAlAu
_symmetry_space_group_name_H-M 'P 1'
_symmetry_Int_Tables_number 1
_cell_length_a 4.953
_cell_length_b 4.953
_cell_length_c 4.953
_cell_angle_alpha 60.00
_cell_angle_beta 60.00
_cell_angle_gamma 60.00
loop_
_symmetry_equiv_pos_as_xyz
'x,y,z'
loop_
_atom_site_label
_atom_site_type_symbol
_atom_site_fract_x
_atom_site_fract_y
_atom_site_fract_z
Na1 Na 0.000 0.000 0.000
Ca1 Ca 0.750 0.750 0.750
Al1 Al 0.250 0.250 0.250
Au1 Au 0.500 0.500 0.500
```

Values from the calculation:
* space-group type: F-43m, No. 216
* total energy: -11.543 eV/cell
* density of states at the Fermi level: 1.99 states/eV/f.u.